(1)
Entry from Alexandria: a geometry-optimized CsZnSe3 structure (GGA-PBE).

Results
DOS at the Fermi energy = 10.1 states/eV per cell
E_tot = -7.15 eV for the cell shown
Energy relative to the elements, uncorrected = 1.086 eV/atom
Calculated volume = 46.635 Å³ per atom

Cell: 6.155 6.155 6.155 Å, 90.00 90.00 90.00°
Sites, in units of the cell vectors:
Cs 0.000 0.000 0.000
Zn 0.500 0.500 0.500
Se 0.000 0.000 0.500
Se 0.000 0.500 0.000
Se 0.500 0.000 0.000

(2)
Entry from Alexandria: a geometry-optimized Cs2Zn2Se3 structure (GGA-PBE).

Results
DOS at the Fermi energy = 0.0 states/eV per cell
E_tot = -84.21 eV for the cell shown
Energy relative to the elements, uncorrected = -0.906 eV/atom
Calculated volume = 32.018 Å³ per atom

Cell: 11.635 11.635 7.276 Å, 107.18 107.18 81.04°
Sites, in units of the cell vectors:
Cs 0.070 0.930 0.750
Cs 0.204 0.796 0.250
Cs 0.312 0.487 0.442
Cs 0.487 0.312 0.942
Cs 0.513 0.688 0.058
Cs 0.688 0.513 0.558
Cs 0.796 0.204 0.750
Cs 0.930 0.070 0.250
Zn 0.023 0.577 0.735
Zn 0.151 0.309 0.806
Zn 0.309 0.151 0.306
Zn 0.423 0.977 0.765
Zn 0.577 0.023 0.235
Zn 0.691 0.849 0.694
Zn 0.849 0.691 0.194
Zn 0.977 0.423 0.265
Se 0.040 0.639 0.435
Se 0.113 0.254 0.097
Se 0.232 0.514 0.913
Se 0.254 0.113 0.597
Se 0.361 0.960 0.065
Se 0.486 0.768 0.587
Se 0.514 0.232 0.413
Se 0.639 0.040 0.935
Se 0.746 0.887 0.403
Se 0.768 0.486 0.087
Se 0.887 0.746 0.903
Se 0.960 0.361 0.565

(3)
Entry from Alexandria: a geometry-optimized Cs3Zn2Se4 structure (GGA-PBE).

Results
DOS at the Fermi energy = 2.5 states/eV per cell
E_tot = -26.88 eV for the cell shown
Energy relative to the elements, uncorrected = -0.870 eV/atom
Calculated volume = 40.633 Å³ per atom

Cell: 9.917 9.917 10.185 Å, 115.20 115.20 23.92°
Sites, in units of the cell vectors:
Cs 0.000 0.000 0.000
Cs 0.330 0.330 0.398
Cs 0.670 0.670 0.602
Zn 0.303 0.303 0.957
Zn 0.697 0.697 0.043
Se 0.156 0.156 0.881
Se 0.339 0.339 0.756
Se 0.661 0.661 0.244
Se 0.844 0.844 0.119

(4)
Entry from Alexandria: a geometry-optimized Cs2Zn2Se3 structure (GGA-PBE).

Results
E_tot = -21.08 eV for the cell shown
Energy relative to the elements, uncorrected = -0.910 eV/atom
Calculated volume = 32.406 Å³ per atom

Cell: 7.384 7.384 8.970 Å, 121.60 121.60 33.66°
Sites, in units of the cell vectors:
Cs 0.067 0.067 0.346
Cs 0.933 0.933 0.654
Zn 0.309 0.309 0.938
Zn 0.691 0.691 0.062
Se 0.303 0.303 0.220
Se 0.500 0.500 0.000
Se 0.697 0.697 0.780

(5)
Entry from Alexandria: a geometry-optimized Cs3ZnSe2 structure (GGA-PBE).

Results
DOS at the Fermi energy = 2.9 states/eV per cell
E_tot = -30.91 eV for the cell shown
Energy relative to the elements, uncorrected = -0.776 eV/atom
Calculated volume = 70.777 Å³ per atom

Cell: 13.747 13.747 13.747 Å, 151.02 52.44 137.29°
Sites, in units of the cell vectors:
Cs 0.090 0.750 0.340
Cs 0.250 0.250 0.000
Cs 0.410 0.750 0.660
Cs 0.590 0.250 0.340
Cs 0.750 0.750 0.000
Cs 0.910 0.250 0.660
Zn 0.000 0.500 0.500
Zn 0.500 0.000 0.500
Se 0.072 0.703 0.775
Se 0.428 0.203 0.630
Se 0.572 0.797 0.370
Se 0.928 0.297 0.225

(6)
Entry from Alexandria: a geometry-optimized Cs2ZnSe4 structure (GGA-PBE).

Results
DOS at the Fermi energy = 10.9 states/eV per cell
E_tot = -19.34 eV for the cell shown
Energy relative to the elements, uncorrected = -0.346 eV/atom
Calculated volume = 35.603 Å³ per atom

Cell: 9.576 9.576 9.576 Å, 147.75 147.75 46.26°
Sites, in units of the cell vectors:
Cs 0.148 0.148 0.000
Cs 0.852 0.852 0.000
Zn 0.500 0.500 0.000
Se 0.000 0.500 0.500
Se 0.364 0.364 0.000
Se 0.500 0.000 0.500
Se 0.636 0.636 0.000

(7)
Entry from Alexandria: a geometry-optimized CsZnSe3 structure (GGA-PBE).

Results
DOS at the Fermi energy = 7.9 states/eV per cell
E_tot = -13.64 eV for the cell shown
Energy relative to the elements, uncorrected = -0.213 eV/atom
Calculated volume = 27.983 Å³ per atom

Cell: 5.191 5.191 5.191 Å, 90.00 90.00 90.00°
Sites, in units of the cell vectors:
Cs 0.000 0.000 0.000
Zn 0.500 0.500 0.500
Se 0.000 0.500 0.500
Se 0.500 0.000 0.500
Se 0.500 0.500 0.000

(8)
Entry from Alexandria: a geometry-optimized CsZn3Se structure (GGA-PBE).

Results
DOS at the Fermi energy = 2.9 states/eV per cell
E_tot = -6.93 eV for the cell shown
Energy relative to the elements, uncorrected = 0.247 eV/atom
Calculated volume = 32.873 Å³ per atom

Cell: 5.478 5.478 5.478 Å, 90.00 90.00 90.00°
Sites, in units of the cell vectors:
Cs 0.000 0.000 0.000
Zn 0.000 0.500 0.500
Zn 0.500 0.000 0.500
Zn 0.500 0.500 0.000
Se 0.500 0.500 0.500

(9)
Entry from Alexandria: a geometry-optimized Cs2ZnSe2 structure (GGA-PBE).

Results
DOS at the Fermi energy = 0.0 states/eV per cell
E_tot = -14.73 eV for the cell shown
Energy relative to the elements, uncorrected = -0.956 eV/atom
Calculated volume = 64.928 Å³ per atom

Cell: 8.252 8.252 8.252 Å, 129.68 129.68 73.92°
Sites, in units of the cell vectors:
Cs 0.250 0.750 0.500
Cs 0.750 0.250 0.500
Zn 0.000 0.000 0.000
Se 0.171 0.171 0.000
Se 0.829 0.829 0.000

(10)
Entry from Alexandria: a geometry-optimized CsZn3Se structure (GGA-PBE).

Results
DOS at the Fermi energy = 10.8 states/eV per cell
E_tot = -3.93 eV for the cell shown
Energy relative to the elements, uncorrected = 0.845 eV/atom
Calculated volume = 66.535 Å³ per atom

Cell: 6.929 6.929 6.929 Å, 90.00 90.00 90.00°
Sites, in units of the cell vectors:
Cs 0.000 0.000 0.000
Zn 0.000 0.000 0.500
Zn 0.000 0.500 0.000
Zn 0.500 0.000 0.000
Se 0.500 0.500 0.500

(11)
Entry from Alexandria: a geometry-optimized CsZrSe3 structure (GGA-PBE).

Results
DOS at the Fermi energy = 0.0 states/eV per cell
E_tot = -51.32 eV for the cell shown
Energy relative to the elements, uncorrected = -1.161 eV/atom
Calculated volume = 39.519 Å³ per atom

Cell: 8.606 8.606 9.639 Å, 101.07 101.07 34.41°
Sites, in units of the cell vectors:
Cs 0.118 0.118 0.356
Cs 0.882 0.882 0.644
Zr 0.336 0.336 0.111
Zr 0.664 0.664 0.889
Se 0.171 0.171 0.992
Se 0.348 0.348 0.367
Se 0.499 0.499 0.124
Se 0.501 0.501 0.876
Se 0.652 0.652 0.633
Se 0.829 0.829 0.008

(12)
Entry from Alexandria: a geometry-optimized CsZrSe4 structure (GGA-PBE).

Results
DOS at the Fermi energy = 7.7 states/eV per cell
E_tot = -57.92 eV for the cell shown
Energy relative to the elements, uncorrected = -0.937 eV/atom
Calculated volume = 33.860 Å³ per atom

Cell: 8.792 8.792 6.856 Å, 100.74 100.74 123.48°
Sites, in units of the cell vectors:
Cs 0.146 0.854 0.750
Cs 0.854 0.146 0.250
Zr 0.500 0.500 0.250
Zr 0.500 0.500 0.750
Se 0.170 0.325 0.877
Se 0.314 0.590 0.477
Se 0.325 0.170 0.377
Se 0.410 0.686 0.023
Se 0.590 0.314 0.977
Se 0.675 0.830 0.623
Se 0.686 0.410 0.523
Se 0.830 0.675 0.123

Number 1 is which compound? CsZnSe3